1.
NaVS2Cl PBE relaxed; energy relative to the lowest polymorph listed for this composition = 1416 meV/atom; raw formation energy = 2.88 eV/f.u.; space-group type = No. 123
1.0
4.955 0.000 0.000
0.000 4.955 0.000
0.000 0.000 4.781
Na V S Cl
1 1 2 1
Direct
0.000 0.000 0.000
0.500 0.500 0.500
0.000 0.500 0.000
0.500 0.000 0.000
0.000 0.000 0.500

=====

2.
PmNdCBr PBE relaxed; raw formation energy = -3.55 eV/f.u.; space-group type = No. 160
1.0
3.788 0.000 0.000
-1.894 3.281 0.000
0.000 0.000 22.401
Pm Nd C Br
3 3 3 3
Direct
0.000 0.000 0.000
0.333 0.667 0.667
0.667 0.333 0.333
0.000 0.000 0.211
0.333 0.667 0.878
0.667 0.333 0.545
0.000 0.000 0.607
0.333 0.667 0.274
0.667 0.333 0.941
0.000 0.000 0.437
0.333 0.667 0.104
0.667 0.333 0.770

=====

3.
Tm2ScGa2Rh5 PBE relaxed; energy of formation = -0.869 eV per atom; space-group type = No. 127
1.0
9.928 0.000 0.000
0.000 9.928 0.000
0.000 0.000 3.490
Tm Sc Ga Rh
4 2 4 10
Direct
0.172 0.328 0.000
0.328 0.828 0.000
0.672 0.172 0.000
0.828 0.672 0.000
0.000 0.000 0.000
0.500 0.500 0.000
0.125 0.625 0.000
0.375 0.125 0.000
0.625 0.875 0.000
0.875 0.375 0.000
0.000 0.500 0.500
0.069 0.794 0.500
0.206 0.069 0.500
0.294 0.569 0.500
0.431 0.294 0.500
0.500 0.000 0.500
0.569 0.706 0.500
0.706 0.431 0.500
0.794 0.931 0.500
0.931 0.206 0.500

=====

| no. | total magnetic moment (μB/cell) | density (g/cm3) |
| --- | --- | --- |
| 1 | 1.02 | 2.46 |
| 2 | 0.00 | 6.82 |
| 3 | 0.00 | 10.01 |